The following is a PBE-GGA calculation of a relaxed Mn2CdGe2 crystal, from Alexandria.

POSCAR file:
```
Mn2CdGe2
1.0
-3.494 1.223 0.367
-1.160 -3.487 0.576
-1.496 -0.468 6.170
Ge Mn Cd
2 2 1
Cartesian
-3.658 -0.189 3.504
-2.491 -2.543 3.608
-2.158 -0.997 1.630
-3.992 -1.735 5.482
0.000 0.000 0.000
```

## Properties
M_tot = 3.79 μB per formula unit
Space group = No. 139
Energy of formation from the pure elements = 0.243 eV per atom
ρ = 7.6 g/cm3
Distance to the lowest polymorph of the same formula = 0.119 eV per atom